(1)
{"formula": "Na2Pm2Sn7", "functional": "PBE", "state": "relaxed", "cell": [[6.587, -0.003, -0.657], [0.003, 7.789, 0.004], [-1.066, -0.003, 6.533]], "species": ["Na", "Sn", "Pm", "Sn", "Pm", "Sn", "Na", "Sn", "Sn", "Sn", "Sn"], "frac_coords": [[0.840, 0.500, 0.840], [0.500, 0.309, 0.000], [0.694, 0.000, 0.306], [0.500, 0.313, 0.500], [0.306, 0.000, 0.694], [0.000, 0.691, 0.500], [0.160, 0.500, 0.160], [0.500, 0.687, 0.500], [0.000, 0.000, 0.000], [0.000, 0.309, 0.500], [0.500, 0.691, 0.000]], "crystal_system": "orthorhombic", "e_tot_ev_per_atom": -3.79, "total_magnetization_mub_per_fu": 0.00, "vol_a3_per_atom": 29.973, "ef_kcal_per_mol_atoms": -3.20, "spacegroup": "No. 65"}


(2)
{"formula": "TlIn2PRu", "functional": "PBE", "state": "relaxed", "cell": [[-4.729, -2.565, -1.266], [2.376, -4.556, 0.354], [-1.296, -0.259, 5.366]], "species": ["In", "P", "Ru", "Tl", "In"], "frac_coords": [[0.000, 0.000, 0.500], [0.500, 0.500, 0.500], [0.000, 0.500, 0.000], [0.000, 0.000, 0.000], [0.500, 0.000, 0.000]], "crystal_system": "tetragonal", "e_tot_ev_per_atom": -3.00, "total_magnetization_mub_per_fu": 1.91, "vol_a3_per_atom": 31.460, "ef_kcal_per_mol_atoms": 34.64, "spacegroup": "No. 123"}


(3)
{"formula": "Cs3ScAg2Br8", "functional": "PBE", "state": "relaxed", "cell": [[-2.234, 1.155, 7.392], [6.881, -3.365, -1.519], [4.594, 9.434, -0.085]], "species": ["Cs", "Ag", "Br", "Br", "Br", "Sc", "Cs", "Br", "Br", "Br", "Br", "Cs", "Br", "Ag"], "frac_coords": [[0.333, 0.667, 0.633], [0.333, 0.667, 0.204], [0.841, 0.683, 0.652], [0.333, 0.667, 0.963], [0.159, 0.317, 0.348], [0.000, 0.000, 0.500], [0.667, 0.333, 0.367], [0.159, 0.841, 0.348], [0.667, 0.333, 0.037], [0.683, 0.841, 0.348], [0.317, 0.159, 0.652], [0.000, 0.000, 0.000], [0.841, 0.159, 0.652], [0.667, 0.333, 0.796]], "crystal_system": "trigonal", "e_tot_ev_per_atom": -3.34, "raw_formation_energy_ev_per_atom": -1.3406, "total_magnetization_mub_per_fu": 0.00, "vol_a3_per_atom": 39.581, "spacegroup": "No. 164"}


(4)
{"formula": "Tm2PuBe", "functional": "PBE", "state": "relaxed", "cell": [[3.365, 0.000, 0.000], [0.000, 3.365, 0.000], [0.000, 0.000, 8.399]], "species": ["Be", "Tm", "Pu", "Tm"], "frac_coords": [[0.500, 0.500, 0.000], [0.000, 0.000, 0.806], [0.500, 0.500, 0.500], [0.000, 0.000, 0.194]], "crystal_system": "tetragonal", "e_tot_ev_per_atom": -6.63, "de_polymorph_mev_per_atom": 0, "total_magnetization_mub_per_fu": 6.44, "vol_a3_per_atom": 23.775, "ef_kcal_per_mol_atoms": 2.76, "spacegroup": "No. 123"}


(5)
{"formula": "Cd3TcAg", "functional": "PBE", "state": "relaxed", "cell": [[-3.966, -2.516, -2.347], [2.837, -4.418, -0.057], [-1.947, -1.311, 4.697]], "species": ["Ag", "Tc", "Cd", "Cd", "Cd"], "frac_coords": [[0.500, 0.500, 0.500], [0.000, 0.000, 0.000], [0.000, 0.000, 0.500], [0.000, 0.500, 0.000], [0.500, 0.000, 0.000]], "crystal_system": "cubic", "e_tot_ev_per_atom": -2.24, "de_polymorph_mev_per_atom": 0, "total_magnetization_mub_per_fu": 1.65, "vol_a3_per_atom": 28.953, "ef_kcal_per_mol_atoms": 22.05, "spacegroup": "No. 221"}


(6)
{"formula": "GaNi2Br", "functional": "PBE", "state": "relaxed", "cell": [[4.333, 0.000, 0.000], [0.000, 4.333, 0.000], [2.167, 2.167, 7.382]], "species": ["Ni", "Br", "Br", "Ga", "Ga", "Ni", "Ni", "Ni"], "frac_coords": [[0.875, 0.863, 0.750], [0.750, 0.250, 0.500], [0.000, 0.000, 0.000], [0.250, 0.750, 0.500], [0.500, 0.500, 0.000], [0.137, 0.625, 0.250], [0.613, 0.125, 0.250], [0.375, 0.387, 0.750]], "crystal_system": "tetragonal", "e_tot_ev_per_atom": -3.80, "raw_formation_energy_ev_per_atom": 0.2687, "de_polymorph_mev_per_atom": 0, "total_magnetization_mub_per_fu": 0.00, "vol_a3_per_atom": 17.325, "spacegroup": "No. 122"}


(7)
{"formula": "Cr4CuIr", "functional": "PBE", "state": "relaxed", "cell": [[0.000, 3.332, 3.332], [3.332, 0.000, 3.332], [3.332, 3.332, 0.000]], "species": ["Cr", "Ir", "Cu", "Cr", "Cr", "Cr"], "frac_coords": [[0.622, 0.622, 0.134], [0.000, 0.000, 0.000], [0.250, 0.250, 0.250], [0.622, 0.134, 0.622], [0.622, 0.622, 0.622], [0.134, 0.622, 0.622]], "crystal_system": "cubic", "e_tot_ev_per_atom": -8.45, "total_magnetization_mub_per_fu": 0.00, "vol_a3_per_atom": 12.335, "ef_kcal_per_mol_atoms": 2.87, "spacegroup": "No. 216"}


(8)
{"formula": "ErScU2P4", "functional": "PBE", "state": "relaxed", "cell": [[-2.344, -3.103, -0.047], [5.189, -3.946, 1.670], [-3.051, 2.218, 5.672]], "species": ["P", "P", "U", "P", "Sc", "Er", "U", "P"], "frac_coords": [[0.500, 0.242, 0.244], [0.000, 0.755, 0.248], [0.500, 0.000, 0.500], [0.500, 0.758, 0.756], [0.000, 0.000, 0.000], [0.500, 0.500, 0.000], [0.000, 0.500, 0.500], [0.000, 0.245, 0.752]], "crystal_system": "monoclinic", "e_tot_ev_per_atom": -8.15, "total_magnetization_mub_per_fu": 4.58, "vol_a3_per_atom": 21.038, "ef_kcal_per_mol_atoms": -28.98, "spacegroup": "No. 10"}


(9)
{"formula": "Tl4Hg4Pb", "functional": "PBE", "state": "relaxed", "cell": [[-2.586, -1.643, -4.578], [4.136, -4.738, -3.951], [-4.052, -6.114, 1.169]], "species": ["Tl", "Hg", "Hg", "Pb", "Tl", "Tl", "Hg", "Hg", "Tl"], "frac_coords": [[0.308, 0.044, 0.340], [0.659, 0.320, 0.362], [0.021, 0.638, 0.320], [0.000, 0.000, 0.000], [0.692, 0.956, 0.660], [0.648, 0.660, 0.044], [0.341, 0.680, 0.638], [0.979, 0.362, 0.680], [0.352, 0.340, 0.956]], "crystal_system": "tetragonal", "e_tot_ev_per_atom": -1.58, "total_magnetization_mub_per_fu": 0.00, "vol_a3_per_atom": 29.123, "ef_kcal_per_mol_atoms": 0.49, "spacegroup": "No. 87"}


(10)
{"formula": "MnPNCl2", "functional": "PBE", "state": "relaxed", "cell": [[5.651, 0.000, 0.000], [0.000, 5.651, 0.000], [0.000, 0.000, 3.298]], "species": ["Mn", "N", "Cl", "Cl", "P"], "frac_coords": [[0.500, 0.500, 0.500], [0.000, 0.000, 0.000], [0.500, 0.000, 0.000], [0.000, 0.500, 0.000], [0.000, 0.000, 0.500]], "crystal_system": "tetragonal", "e_tot_ev_per_atom": -4.60, "raw_formation_energy_ev_per_atom": 0.7190, "de_polymorph_mev_per_atom": 0, "total_magnetization_mub_per_fu": 4.72, "vol_a3_per_atom": 21.065, "spacegroup": "No. 123"}


(11)
{"formula": "ErAs2Pd5", "functional": "PBE", "state": "relaxed", "cell": [[4.042, 0.000, 0.000], [2.021, 6.000, 0.242], [2.021, 1.340, 5.853]], "species": ["Pd", "Pd", "Er", "Pd", "Pd", "As", "Pd", "As"], "frac_coords": [[0.647, 0.549, 0.156], [0.647, 0.156, 0.549], [0.000, 0.000, 0.000], [0.353, 0.451, 0.844], [0.000, 0.500, 0.500], [0.743, 0.757, 0.757], [0.353, 0.844, 0.451], [0.257, 0.243, 0.243]], "crystal_system": "orthorhombic", "e_tot_ev_per_atom": -5.58, "total_magnetization_mub_per_fu": 0.00, "vol_a3_per_atom": 17.577, "ef_kcal_per_mol_atoms": -13.77, "spacegroup": "No. 71"}